Computed, not measured: a relaxed RePIr2 crystal at the PBE level of DFT.

Lattice parameters (Å, degrees): 5.3386 5.3386 5.3386 149.33 132.70 57.43
With the nearest neighbours (Å) after each atom.
Atoms (fractional coordinates):
1 Re 0.0000 0.0000 0.0000  2 P 2.38
2 P 0.2050 0.7050 0.5000  2 Re 2.38, 6 Ir 2.38-2.57
3 Ir 0.4102 0.4102 0.0000  2 P 2.38
4 Ir 0.7155 0.2155 0.5000  4 P 2.57, 4 Ir 2.81-2.82

Summary:
VASP energy = -8.93 eV per atom
D(E_F) = 3.4 states/eV per cell